Entry from Alexandria via LeMat-Bulk: VCo3H after structural relaxation (PBE).

Results
* magnetic moment: 1.5 μB per formula unit
* E above lowest polymorph: 1.21 eV per formula unit

abc: 11.0873 6.6342 6.6342
angles: 113.08 138.76 41.24
With the nearest neighbours (Å) after each atom.
Fractional positions:
Co: 0.5863 0.7511 0.5858  1 H 1.81
Co: 0.4137 0.2489 0.4142  1 H 1.81
Co: 0.9090 0.4231 0.5816  2 H 1.81-1.82
Co: 0.4090 0.9184 0.0769  2 H 1.81-1.82
Co: 0.9137 0.0858 0.2511  1 H 1.81
Co: 0.0755 0.2559 0.0840  1 H 1.84
Co: 0.5910 0.0816 0.9231  2 H 1.81-1.82
Co: 0.4245 0.5840 0.7559  1 H 1.84
Co: 0.0863 0.9142 0.7489  1 H 1.81
Co: 0.5755 0.4160 0.2441  1 H 1.84
Co: 0.0910 0.5769 0.4184  2 H 1.81-1.82
Co: 0.9245 0.7441 0.9160  1 H 1.84
H: 0.1845 0.0362 0.6360  4 Co 1.81-1.84
H: 0.6845 0.8640 0.4638  4 Co 1.81-1.84
H: 0.3155 0.1360 0.5362  4 Co 1.81-1.84
H: 0.8155 0.9638 0.3640  4 Co 1.81-1.84
V: 0.2500 0.4001 0.9001  8 Co 2.46-2.56, 4 H 2.61-2.72
V: 0.7500 0.2198 0.7198  8 Co 2.38-2.63, 2 V 2.50, 2 H 2.56
V: 0.2500 0.7802 0.2802  8 Co 2.38-2.63, 2 V 2.50, 2 H 2.56
V: 0.7500 0.5999 0.0999  8 Co 2.46-2.56, 4 H 2.61-2.72